1.
DFT (GGA-PBE) results for a geometry-optimized Sc2AlSi2Ru5 structure.

Cell: 9.7187 9.7187 3.1847 Å, 90.00 90.00 90.00°
Fractional positions:
Sc (0.1715, 0.3285, 0.0000)
Sc (0.3285, 0.8285, 0.0000)
Sc (0.6715, 0.1715, 0.0000)
Sc (0.8285, 0.6715, 0.0000)
Al (0.0000, 0.0000, 0.0000)
Al (0.5000, 0.5000, 0.0000)
Si (0.1301, 0.6301, 0.0000)
Si (0.3699, 0.1301, 0.0000)
Si (0.6301, 0.8699, 0.0000)
Si (0.8699, 0.3699, 0.0000)
Ru (0.0000, 0.5000, 0.5000)
Ru (0.0686, 0.7967, 0.5000)
Ru (0.2033, 0.0686, 0.5000)
Ru (0.2967, 0.5686, 0.5000)
Ru (0.4314, 0.2967, 0.5000)
Ru (0.5000, 0.0000, 0.5000)
Ru (0.5686, 0.7033, 0.5000)
Ru (0.7033, 0.4314, 0.5000)
Ru (0.7967, 0.9314, 0.5000)
Ru (0.9314, 0.2033, 0.5000)

## Properties
space group: P4/mbm (127)
formation energy without anion corrections: -0.71 eV per atom
total moment: 0.0 μB per cell
DOS at the Fermi energy: 0.791 states/eV per atom

***

2.
DFT (GGA-PBE) results for a geometry-optimized LaTmZn3 structure.

Cell: 13.7376 13.7376 4.5944 Å, 90.00 90.00 164.83°
Fractional positions:
La (0.0753, 0.9247, 0.7500)
La (0.9247, 0.0753, 0.2500)
Tm (0.2105, 0.7895, 0.2500)
Tm (0.7895, 0.2105, 0.7500)
Zn (0.3220, 0.6780, 0.2500)
Zn (0.3764, 0.6236, 0.7500)
Zn (0.4759, 0.5241, 0.7500)
Zn (0.5241, 0.4759, 0.2500)
Zn (0.6236, 0.3764, 0.2500)
Zn (0.6780, 0.3220, 0.7500)

## Properties
space group: Cmcm (63)
total moment: 0.0 μB per cell
energy of formation from the pure elements: -0.330 eV per atom
DOS at the Fermi energy: 0.964 states/eV per atom